No. 1
The following is a DFT calculation (PBE) of a geometry-optimized YTm3Pd3 structure.

```
data_YTm3Pd3
_chemical_formula_sum 'Y4 Tm12 Pd12'
_space_group_name_H-M_alt 'C 1 2/m 1'
_space_group_IT_number 12
_cell_length_a 9.104
_cell_length_b 10.370
_cell_length_c 7.030
_cell_angle_alpha 90.00
_cell_angle_beta 91.95
_cell_angle_gamma 90.00
loop_
_space_group_symop_operation_xyz
'x,y,z'
'-x,-y,-z'
'-x,y,-z'
'x,-y,z'
'x+1/2,y+1/2,z'
'-x+1/2,-y+1/2,-z'
'-x+1/2,y+1/2,-z'
'x+1/2,-y+1/2,z'
loop_
_atom_site_label
_atom_site_type_symbol
_atom_site_fract_x
_atom_site_fract_y
_atom_site_fract_z
Y1 Y 0.233 0.000 0.380
Tm1 Tm 0.000 0.252 0.500
Tm2 Tm 0.000 0.323 0.000
Tm3 Tm 0.153 0.000 0.866
Pd1 Pd 0.060 0.500 0.304
Pd2 Pd 0.243 0.248 0.222
```

Summary:
* energy above the most stable polymorph in this dataset: 11 meV/atom
* formation enthalpy at 0 K: -0.721 eV/atom

---

No. 2
The following is a DFT calculation (PBE) of a geometry-optimized DyPaOs2 structure.

```
data_DyPaOs2
_chemical_formula_sum 'Dy4 Pa4 Os8'
_space_group_name_H-M_alt 'F m -3 m'
_space_group_IT_number 225
_space_group_name_Hall '-F 4 2 3'
_cell_length_a 6.868
_cell_length_b 6.868
_cell_length_c 6.868
_cell_angle_alpha 90.00
_cell_angle_beta 90.00
_cell_angle_gamma 90.00
loop_
_atom_site_label
_atom_site_type_symbol
_atom_site_fract_x
_atom_site_fract_y
_atom_site_fract_z
Dy1 Dy 0.000 0.000 0.000
Pa1 Pa 0.000 0.000 0.500
Os1 Os 0.250 0.250 0.250
```

Summary:
* energy above the most stable polymorph in this dataset: 64 meV/atom
* formation enthalpy at 0 K: -0.212 eV/atom

---

Which value of formation enthalpy at 0 K does entry 1 give?
-0.721 eV/atom

---

Look up the energy above the most stable polymorph in this dataset of the second one.
64 meV/atom